## Rb3Na4Sn2 (PBE-GGA)

Data for crystalline Rb3Na4Sn2 at its relaxed geometry.

Electronic total energy = -1.87 eV/atom
Formation energy = -7.1 kJ per mole of atoms
Magnetization = 0.51 μB per formula unit
DOS at the Fermi energy = 8.70 states/eV/cell

Cell lengths 5.527, 7.323, 10.881 Å; angles 105.67, 90.05, 112.13 degrees
Space group P-1 (No. 2)
Symmetry-distinct sites (fractional):
1 Rb 0.000 0.000 0.000 (multiplicity 1)
2 Rb 0.374 0.749 0.621 (multiplicity 2)
3 Na 0.097 0.196 0.669 (multiplicity 2)
4 Na 0.282 0.564 0.938 (multiplicity 2)
5 Sn 0.293 0.584 0.239 (multiplicity 2)